Nd3P2I: optimized geometry, PBE.

Properties
Total energy: -65.676 eV per cell

Cell lengths 8.3128, 8.3128, 8.3128 Å; angles 124.72, 84.51, 121.74 degrees
Sites, in units of the cell vectors:
1 Nd 0.0000 0.2405 0.2405
2 Nd 0.0000 0.7595 0.7595
3 Nd 0.5000 0.0000 0.0000
4 Nd 0.5000 0.2405 0.7405
5 Nd 0.5000 0.5000 0.5000
6 Nd 0.5000 0.7595 0.2595
7 P 0.2956 0.7263 0.5693
8 P 0.3430 0.2737 0.0693
9 P 0.6570 0.7263 0.9307
10 P 0.7044 0.2737 0.4307
11 I 0.1405 0.8905 0.2500
12 I 0.8595 0.1095 0.7500

Nd2PI3: optimized geometry, PBE.

Properties
Total energy: -55.607 eV per cell

Cell lengths 9.4808, 9.4808, 12.6962 Å; angles 119.33, 119.33, 28.20 degrees
Sites, in units of the cell vectors:
1 Nd 0.0930 0.0930 0.4494
2 Nd 0.3578 0.3578 0.1980
3 Nd 0.6422 0.6422 0.8020
4 Nd 0.9070 0.9070 0.5506
5 P 0.0814 0.0814 0.6600
6 P 0.9186 0.9186 0.3400
7 I 0.1576 0.1576 0.0099
8 I 0.2704 0.2704 0.3847
9 I 0.4496 0.4496 0.7543
10 I 0.5504 0.5504 0.2457
11 I 0.7296 0.7296 0.6153
12 I 0.8424 0.8424 0.9901

NdPI: optimized geometry, PBE.

Properties
Offset from the most stable computed form: 0 meV/atom
Total energy: -30.813 eV per cell

Cell lengths 4.1756, 5.0012, 11.7552 Å; angles 79.87, 89.53, 67.08 degrees
Sites, in units of the cell vectors:
1 Nd 0.1603 0.1910 0.1357
2 Nd 0.8397 0.8090 0.8643
3 P 0.4805 0.6262 0.0685
4 P 0.5195 0.3738 0.9315
5 I 0.1930 0.1378 0.6797
6 I 0.8070 0.8622 0.3203

Nd4PPdI2: optimized geometry, PBE.

Properties
Total energy: -41.317 eV per cell

Cell lengths 7.6273, 4.1520, 8.0340 Å; angles 90.00, 106.68, 90.00 degrees
Sites, in units of the cell vectors:
1 Nd 0.2191 0.0000 0.1974
2 Nd 0.2719 0.5000 0.8074
3 Nd 0.7281 0.5000 0.1926
4 Nd 0.7809 0.0000 0.8026
5 P 0.0000 0.5000 0.0000
6 Pd 0.5000 0.0000 0.0000
7 I 0.0000 0.0000 0.5000
8 I 0.5000 0.5000 0.5000

What is the formula in the fourth record? Nd4PPdI2